{"formula": "KCa2Pb", "functional": "PBEsol", "state": "relaxed", "delta_e_f_ev_per_fu": -0.02, "dos_ef_per_ev_atom": 1.043, "spacegroup": "C2/m (12)", "lattice": [[3.6989, -5.5866, 0.0000], [3.6989, 5.5866, 0.0000], [-1.3253, 0.0000, 3.4825]], "species": ["K", "Ca", "Ca", "Pb"], "frac_coords": [[0.0000, 0.0000, 0.0000], [0.0000, 0.5000, 0.5000], [0.5000, 0.0000, 0.5000], [0.5000, 0.5000, 0.0000]]}